No. 1
# RbYPt2, PBEsol geometry, DFT meta-GGA SCAN
# **Electronic total energy**: -47.62 eV/atom
# **DOS at the Fermi energy**: 0.33 states/eV/atom
# **ΔE_f**: -36.22 kJ per mole of atoms
data_RbYPt2
_chemical_formula_sum 'Rb4 Y4 Pt8'
_space_group_name_H-M_alt 'F m -3 m'
_space_group_IT_number 225
_space_group_name_Hall '-F 4 2 3'
_cell_length_a 7.0695
_cell_length_b 7.0695
_cell_length_c 7.0695
_cell_angle_alpha 90.00
_cell_angle_beta 90.00
_cell_angle_gamma 90.00
loop_
_atom_site_label
_atom_site_fract_x
_atom_site_fract_y
_atom_site_fract_z
Rb1 0.0000 0.0000 0.0000
Y1 0.0000 0.0000 0.5000
Pt1 0.2500 0.2500 0.2500

No. 2
# Rb2YPt2, PBEsol geometry, DFT meta-GGA SCAN
# **Electronic total energy**: -41.35 eV/atom
# **DOS at the Fermi energy**: 0.50 states/eV/atom
# **ΔE_f**: 56.67 kJ per mole of atoms
data_Rb2YPt2
_chemical_formula_sum 'Rb4 Y2 Pt4'
_space_group_name_H-M_alt 'I 4/m m m'
_space_group_IT_number 139
_space_group_name_Hall '-I 4 2'
_cell_length_a 5.4746
_cell_length_b 5.4746
_cell_length_c 9.4611
_cell_angle_alpha 90.00
_cell_angle_beta 90.00
_cell_angle_gamma 90.00
loop_
_atom_site_label
_atom_site_fract_x
_atom_site_fract_y
_atom_site_fract_z
Rb1 0.0000 0.0000 0.1473
Y1 0.0000 0.0000 0.5000
Pt1 0.0000 0.5000 0.2500

No. 3
# RbZn3Pt, PBEsol geometry, DFT meta-GGA SCAN
# **Electronic total energy**: -26.65 eV/atom
# **DOS at the Fermi energy**: 0.33 states/eV/atom
# **ΔE_f**: -33.86 kJ per mole of atoms
data_RbZn3Pt
_chemical_formula_sum 'Rb1 Zn3 Pt1'
_space_group_name_H-M_alt 'P m -3 m'
_space_group_IT_number 221
_space_group_name_Hall '-P 4 2 3'
_cell_length_a 4.8977
_cell_length_b 4.8977
_cell_length_c 4.8977
_cell_angle_alpha 90.00
_cell_angle_beta 90.00
_cell_angle_gamma 90.00
loop_
_atom_site_label
_atom_site_fract_x
_atom_site_fract_y
_atom_site_fract_z
Rb1 0.0000 0.0000 0.0000
Zn1 0.0000 0.5000 0.5000
Pt1 0.5000 0.5000 0.5000

No. 4
# RePt4, PBEsol geometry, DFT meta-GGA SCAN
# **Electronic total energy**: -70.48 eV/atom
# **DOS at the Fermi energy**: 0.62 states/eV/atom
# **ΔE_f**: -10.40 kJ per mole of atoms
data_RePt4
_chemical_formula_sum 'Re2 Pt8'
_space_group_name_H-M_alt 'I 4/m'
_space_group_IT_number 87
_space_group_name_Hall '-I 4'
_cell_length_a 6.1710
_cell_length_b 6.1710
_cell_length_c 3.8782
_cell_angle_alpha 90.00
_cell_angle_beta 90.00
_cell_angle_gamma 90.00
loop_
_atom_site_label
_atom_site_fract_x
_atom_site_fract_y
_atom_site_fract_z
Re1 0.0000 0.0000 0.0000
Pt1 0.1028 0.2950 0.5000